10
Lattice="6.911 0.000 0.000 0.000 6.911 0.000 0.000 0.000 3.935" Properties=species:S:1:pos:R:3 comment="Rh2PbAu2 | the Alexandria database | PBE | relaxed" final_energy_ev_per_fu=-24.31 spacegroup="P4/mbm (127)" magmom_total_mub_per_cell=0.0 dos_ef_per_ev_fu=4.92 pbc="T T T"
Rh 0.944 2.511 0.000
Rh 2.511 5.967 0.000
Rh 4.400 0.944 0.000
Rh 5.967 4.400 0.000
Pb 0.000 0.000 0.000
Pb 3.456 3.456 0.000
Au 1.097 4.553 1.968
Au 2.358 1.097 1.968
Au 4.553 5.814 1.968
Au 5.814 2.358 1.968

---

5
Lattice="-1.801 1.801 9.392 1.801 -1.801 9.392 1.801 1.801 -9.392" Properties=species:S:1:pos:R:3 comment="Cu2PBr2 | the Alexandria database | PBE | relaxed" formation_energy_uncorrected_kj_per_mol_fu=241 spacegroup="I4/mmm (139)" magmom_total_mub_per_cell=1.3 dos_ef_per_ev_fu=1.34 pbc="T T T"
Cu 1.801 0.000 4.696
Cu 0.000 1.801 4.696
P 0.000 0.000 0.000
Br 0.000 0.000 6.468
Br 0.000 0.000 12.316

---

9
Lattice="-3.549 3.549 5.098 3.549 -3.549 5.098 3.549 3.549 -5.098" Properties=species:S:1:pos:R:3 comment="MnTl2Br2Cl4 | the Alexandria database | PBE | relaxed" formation_energy_uncorrected_kj_per_mol_fu=-771 spacegroup="I4/mmm (139)" magmom_total_mub_per_cell=3.0 pbc="T T T"
Mn 0.000 0.000 0.000
Tl 3.549 0.000 2.549
Tl 0.000 3.549 2.549
Br 0.000 0.000 2.475
Br 0.000 0.000 7.720
Cl 1.611 1.611 0.000
Cl 1.938 -1.938 5.098
Cl -1.938 1.938 5.098
Cl 1.938 1.938 5.098

---

4
Lattice="1.949 1.125 7.257 -1.949 1.125 7.257 0.000 -2.250 7.257" Properties=species:S:1:pos:R:3 comment="TbNdTeC | the Alexandria database | PBE | relaxed" formation_energy_uncorrected_kj_per_mol_fu=-300 spacegroup="R3m (160)" magmom_total_mub_per_cell=0.0 dos_ef_per_ev_fu=0.81 pbc="T T T"
Tb 0.000 0.000 0.000
Nd 0.000 0.000 17.252
Te 0.000 0.000 12.334
C 0.000 0.000 8.574

---

4
Lattice="1.604 0.926 8.142 -1.604 0.926 8.142 0.000 -1.852 8.142" Properties=species:S:1:pos:R:3 comment="ZrBe2Sb | the Alexandria database | PBE | relaxed" formation_energy_uncorrected_kj_per_mol_fu=210 spacegroup="R-3m (166)" magmom_total_mub_per_cell=0.4 dos_ef_per_ev_fu=4.83 pbc="T T T"
Zr 0.000 0.000 0.000
Be 0.000 0.000 6.033
Be 0.000 0.000 18.392
Sb 0.000 0.000 12.212

---

4
Lattice="1.440 0.831 8.470 -1.440 0.831 8.470 0.000 -1.663 8.470" Properties=species:S:1:pos:R:3 comment="ZrCr2Re | the Alexandria database | PBE | relaxed" final_energy_ev_per_fu=-38.75 spacegroup="R3m (160)" magmom_total_mub_per_cell=0.0 dos_ef_per_ev_fu=3.98 pbc="T T T"
Zr 0.000 0.000 0.000
Cr 0.000 0.000 12.475
Cr 0.000 0.000 19.269
Re 0.000 0.000 5.985

---

3
Lattice="-1.580 1.580 4.782 1.580 -1.580 4.782 1.580 1.580 -4.782" Properties=species:S:1:pos:R:3 comment="TmCo2 | the Alexandria database | PBE | relaxed" final_energy_ev_per_fu=-18.59 spacegroup="I4/mmm (139)" magmom_total_mub_per_cell=2.8 dos_ef_per_ev_fu=4.47 pbc="T T T"
Tm 0.000 0.000 0.000
Co 0.000 0.000 2.883
Co 0.000 0.000 6.680

---

5
Lattice="4.859 0.000 0.000 0.000 4.859 0.000 0.000 0.000 4.859" Properties=species:S:1:pos:R:3 comment="Al3AsAu | the Alexandria database | PBE | relaxed" final_energy_ev_per_fu=-16.33 spacegroup="Pm-3m (221)" magmom_total_mub_per_cell=0.0 dos_ef_per_ev_fu=3.73 pbc="T T T"
Al 0.000 0.000 2.430
Al 0.000 2.430 0.000
Al 2.430 0.000 0.000
As 0.000 0.000 0.000
Au 2.430 2.430 2.430